# 1
Entry from the Alexandria database: a relaxed structure of AlZnCd2 (GGA-PBE).

Properties
Fermi-level density of states	2.597	states/eV per cell
calculated formation energy	0.128	eV/atom
energy above the most stable polymorph in this dataset	70	meV/atom

```
data_AlZnCd2
_space_group_name_H-M_alt 'C m m m'
_space_group_IT_number 65
_space_group_name_Hall '-C 2 2'
_cell_length_a 2.809
_cell_length_b 5.542
_cell_length_c 10.346
_cell_angle_alpha 90.00
_cell_angle_beta 90.00
_cell_angle_gamma 90.00
loop_
_atom_site_label
_atom_site_fract_x
_atom_site_fract_y
_atom_site_fract_z
Al1 0.000 0.000 0.000
Zn1 0.000 0.000 0.500
Cd1 0.000 0.500 0.255
```

---

# 2
Entry from the Alexandria database: a relaxed structure of K2MnMo (GGA-PBE).

Properties
Fermi-level density of states	5.256	states/eV per cell
calculated formation energy	1.491	eV/atom
energy above the most stable polymorph in this dataset	683	meV/atom

```
data_K2MnMo
_space_group_name_H-M_alt 'P m m m'
_space_group_IT_number 47
_space_group_name_Hall '-P 2 2'
_cell_length_a 2.852
_cell_length_b 5.668
_cell_length_c 6.078
_cell_angle_alpha 90.00
_cell_angle_beta 90.00
_cell_angle_gamma 90.00
loop_
_atom_site_label
_atom_site_fract_x
_atom_site_fract_y
_atom_site_fract_z
K1 0.000 0.249 0.000
Mn1 0.500 0.500 0.500
Mo1 0.500 0.000 0.500
```

---

# 3
Entry from the Alexandria database: a relaxed structure of SrTmAlAg (GGA-PBE).

Properties
Fermi-level density of states	18.672	states/eV per cell
calculated formation energy	-0.172	eV/atom

```
data_SrTmAlAg
_space_group_name_H-M_alt 'F -4 3 m'
_space_group_IT_number 216
_space_group_name_Hall 'F -4 2 3'
_cell_length_a 7.502
_cell_length_b 7.502
_cell_length_c 7.502
_cell_angle_alpha 90.00
_cell_angle_beta 90.00
_cell_angle_gamma 90.00
loop_
_atom_site_label
_atom_site_fract_x
_atom_site_fract_y
_atom_site_fract_z
Sr1 0.000 0.000 0.000
Tm1 0.000 0.000 0.500
Al1 0.250 0.250 0.250
Ag1 0.250 0.250 0.750
```

---

# 4
Entry from the Alexandria database: a relaxed structure of KP2OsO8 (GGA-PBE).

Properties
Fermi-level density of states	2.200	states/eV per cell
uncorrected formation energy	-1808	meV per atom

```
data_KP2OsO8
_space_group_name_H-M_alt 'R -3'
_space_group_IT_number 148
_space_group_name_Hall '-R 3'
_cell_length_a 4.8619
_cell_length_b 4.8619
_cell_length_c 25.8910
_cell_angle_alpha 90.00
_cell_angle_beta 90.00
_cell_angle_gamma 120.00
loop_
_atom_site_label
_atom_site_fract_x
_atom_site_fract_y
_atom_site_fract_z
K1 0.0000 0.0000 0.0000
P1 0.0000 0.0000 0.2338
Os1 0.0000 0.0000 0.5000
O1 0.0000 0.0000 0.2916
O2 0.0160 0.3855 0.8781
```

---

# 5
Entry from the Alexandria database: a relaxed structure of K3Pm3NpO8 (GGA-PBE).

Properties
Fermi-level density of states	32.353	states/eV per cell
uncorrected formation energy	-2715	meV per atom

```
data_K3Pm3NpO8
_space_group_name_H-M_alt 'R -3 m'
_space_group_IT_number 166
_space_group_name_Hall '-R 3 2"'
_cell_length_a 7.1702
_cell_length_b 7.1702
_cell_length_c 19.0524
_cell_angle_alpha 90.00
_cell_angle_beta 90.00
_cell_angle_gamma 120.00
loop_
_atom_site_label
_atom_site_fract_x
_atom_site_fract_y
_atom_site_fract_z
K1 0.0000 0.5000 0.0000
Pm1 0.0000 0.5000 0.5000
Np1 0.0000 0.0000 0.5000
O1 0.0000 0.0000 0.2286
O2 0.0187 0.5093 0.2256
```

---

# 6
Entry from the Alexandria database: a relaxed structure of Mo3Ru5 (GGA-PBE).

Properties
Fermi-level density of states	16.123	states/eV per cell
calculated formation energy	0.404	eV/atom
energy above the most stable polymorph in this dataset	361	meV/atom

```
data_Mo3Ru5
_space_group_name_H-M_alt 'P 63/m c m'
_space_group_IT_number 193
_space_group_name_Hall '-P 6c 2'
_cell_length_a 7.5168
_cell_length_b 7.5168
_cell_length_c 5.0886
_cell_angle_alpha 90.00
_cell_angle_beta 90.00
_cell_angle_gamma 120.00
loop_
_atom_site_label
_atom_site_fract_x
_atom_site_fract_y
_atom_site_fract_z
Mo1 0.0000 0.3930 0.2500
Ru1 0.0000 0.2545 0.7500
Ru2 0.3333 0.6667 0.0000
```

---

# 7
Entry from the Alexandria database: a relaxed structure of Tb2PrGe2 (GGA-PBE).

Properties
Fermi-level density of states	7.677	states/eV per cell
calculated formation energy	-0.591	eV/atom

```
data_Tb2PrGe2
_space_group_name_H-M_alt 'P 1 21/m 1'
_space_group_IT_number 11
_space_group_name_Hall '-P 2yb'
_cell_length_a 5.748
_cell_length_b 4.564
_cell_length_c 10.894
_cell_angle_alpha 90.00
_cell_angle_beta 101.03
_cell_angle_gamma 90.00
loop_
_atom_site_label
_atom_site_fract_x
_atom_site_fract_y
_atom_site_fract_z
Tb1 0.107 0.250 0.374
Tb2 0.255 0.250 0.045
Pr1 0.418 0.250 0.718
Ge1 0.224 0.750 0.877
Ge2 0.326 0.750 0.523
```

---

# 8
Entry from the Alexandria database: a relaxed structure of DyHo2Ir3 (GGA-PBE).

Properties
Fermi-level density of states	2.678	states/eV per cell
calculated formation energy	-0.838	eV/atom

```
data_DyHo2Ir3
_space_group_name_H-M_alt 'P -3 m 1'
_space_group_IT_number 164
_space_group_name_Hall '-P 3 2"'
_cell_length_a 4.8346
_cell_length_b 4.8346
_cell_length_c 5.9163
_cell_angle_alpha 90.00
_cell_angle_beta 90.00
_cell_angle_gamma 120.00
loop_
_atom_site_label
_atom_site_fract_x
_atom_site_fract_y
_atom_site_fract_z
Dy1 0.0000 0.0000 0.0000
Ho1 0.3333 0.6667 0.6663
Ir1 0.0000 0.0000 0.5000
Ir2 0.3333 0.6667 0.1675
```